A plane-wave DFT calculation with SCAN was carried out for a crystal of HgMoIN2 relaxed with PBEsol.

Values from the calculation:
Size of the total moment: 7.7 μB per formula unit
Symmetry: P4/mmm, No. 123
Total energy: -147.47 eV for the cell shown
Fermi-level density of states: 3.0 states/eV/f.u.
Formation energy (no corrections): 2.18 eV per atom

Unit cell a=4.1468 b=4.1468 c=7.0370 alpha=90.00 beta=90.00 gamma=90.00
Last column: nearest neighbours and their distance in Å.
Element x y z (fractional)
I  0.0000  0.0000  0.5000  4 Mo 2.93
Mo  0.5000  0.5000  0.5000  4 I 2.93
Hg  0.0000  0.0000  0.0000  4 N 2.07
N  0.0000  0.5000  0.0000  2 Hg 2.07
N  0.5000  0.0000  0.0000  2 Hg 2.07

A plane-wave DFT calculation with SCAN was carried out for a crystal of CoCuCl2 relaxed with PBEsol.

Values from the calculation:
E above lowest polymorph: 146 meV/atom
Size of the total moment: 2.0 μB per formula unit
Symmetry: Immm, No. 71
Total energy: -48.99 eV for the cell shown
Fermi-level density of states: 0.3 states/eV/f.u.
Formation energy (no corrections): -0.13 eV per atom

Unit cell a=3.1188 b=4.8465 c=4.8465 alpha=74.73 beta=71.23 gamma=71.23
Last column: nearest neighbours and their distance in Å.
Element x y z (fractional)
Co  0.0000  0.5000  0.5000  4 Cl 2.31
Cu  0.5000  0.0000  0.0000  4 Cl 2.40
Cl  0.2582  0.7418  0.7418  2 Co 2.31, 2 Cu 2.40
Cl  0.7418  0.2582  0.2582  2 Co 2.31, 2 Cu 2.40

A plane-wave DFT calculation with SCAN was carried out for a crystal of SrY2Pb relaxed with PBEsol.

Values from the calculation:
Size of the total moment: 1.3 μB per formula unit
E_form: -0.123 eV per atom
Symmetry: R-3m, No. 166
Total energy: -154.23 eV for the cell shown
Fermi-level density of states: 3.9 states/eV/f.u.

Unit cell a=3.6703 b=3.6703 c=11.5735 alpha=80.88 beta=80.88 gamma=60.00
Last column: nearest neighbours and their distance in Å.
Element x y z (fractional)
Pb  0.5000  0.5000  0.5000  6 Y 3.25
Sr  0.0000  0.0000  0.0000  6 Sr 3.67, 6 Y 3.86
Y  0.2388  0.2388  0.2835  3 Pb 3.25
Y  0.7612  0.7612  0.7165  3 Pb 3.25

A plane-wave DFT calculation with SCAN was carried out for a crystal of Lu2MgRu relaxed with PBEsol.

Values from the calculation:
Size of the total moment: 0.0 μB per formula unit
E_form: -0.339 eV per atom
Symmetry: Fm-3m, No. 225
Total energy: -151.84 eV for the cell shown
Fermi-level density of states: 2.1 states/eV/f.u.

Unit cell a=4.8453 b=4.8453 c=4.8453 alpha=60.00 beta=60.00 gamma=60.00
Last column: nearest neighbours and their distance in Å.
Element x y z (fractional)
Ru  0.0000  0.0000  0.0000  8 Lu 2.97
Mg  0.5000  0.5000  0.5000  8 Lu 2.97
Lu  0.2500  0.2500  0.2500  4 Mg 2.97, 4 Ru 2.97
Lu  0.7500  0.7500  0.7500  4 Ru 2.97, 4 Mg 2.97

A plane-wave DFT calculation with SCAN was carried out for a crystal of NiAg2Os relaxed with PBEsol.

Values from the calculation:
E above lowest polymorph: 8 meV/atom
Size of the total moment: 1.1 μB per formula unit
E_form: 0.603 eV per atom
Symmetry: Pmmm, No. 47
Total energy: -148.38 eV for the cell shown
Fermi-level density of states: 1.7 states/eV/f.u.

Unit cell a=2.6612 b=4.5742 c=4.7637 alpha=90.00 beta=90.00 gamma=90.00
Last column: nearest neighbours and their distance in Å.
Element x y z (fractional)
Ag  0.0000  0.0000  0.0000  6 Ag 2.65-2.66, 4 Ni 2.73
Ag  0.5000  0.5000  0.0000  6 Ag 2.65-2.66, 4 Os 2.73
Ni  0.5000  0.0000  0.5000  4 Os 2.65, 2 Ni 2.66, 4 Ag 2.73
Os  0.0000  0.5000  0.5000  4 Ni 2.65, 2 Os 2.66, 4 Ag 2.73

A plane-wave DFT calculation with SCAN was carried out for a crystal of ScTa2Ag relaxed with PBEsol.

Values from the calculation:
E above lowest polymorph: 133 meV/atom
Size of the total moment: 0.0 μB per formula unit
E_form: 0.270 eV per atom
Symmetry: I-4m2, No. 119
Total energy: -177.69 eV for the cell shown
Fermi-level density of states: 2.9 states/eV/f.u.

Unit cell a=4.1685 b=4.1685 c=5.0947 alpha=114.15 beta=114.15 gamma=90.00
Last column: nearest neighbours and their distance in Å.
Element x y z (fractional)
Ag  0.5000  0.5000  0.0000  8 Ta 2.94-2.95, 4 Sc 2.94
Sc  0.2500  0.7500  0.5000  4 Ag 2.94, 8 Ta 2.94-2.95
Ta  0.0000  0.0000  0.0000  4 Ta 2.94, 4 Sc 2.94, 4 Ag 2.95
Ta  0.7500  0.2500  0.5000  4 Ta 2.94, 4 Ag 2.94, 4 Sc 2.95

A plane-wave DFT calculation with SCAN was carried out for a crystal of Ta2BePd2 relaxed with PBEsol.

Values from the calculation:
Size of the total moment: 0.0 μB per formula unit
E_form: 0.533 eV per atom
Symmetry: I4/mmm, No. 139
Total energy: -200.40 eV for the cell shown
Fermi-level density of states: 6.8 states/eV/f.u.

Unit cell a=3.5056 b=3.5056 c=7.2033 alpha=104.08 beta=104.08 gamma=90.00
Last column: nearest neighbours and their distance in Å.
Element x y z (fractional)
Be  0.0000  0.0000  0.0000  8 Ta 2.80
Pd  0.2500  0.7500  0.5000  4 Pd 2.48, 4 Ta 2.72
Pd  0.7500  0.2500  0.5000  4 Pd 2.48, 4 Ta 2.72
Ta  0.4037  0.4037  0.8073  1 Ta 2.61, 4 Pd 2.72, 4 Be 2.80
Ta  0.5963  0.5963  0.1927  1 Ta 2.61, 4 Pd 2.72, 4 Be 2.80

A plane-wave DFT calculation with SCAN was carried out for a crystal of AlRu relaxed with PBEsol.

Values from the calculation:
Size of the total moment: 0.0 μB per formula unit
E_form: -0.598 eV per atom
Symmetry: Cm, No. 8
Total energy: -131.33 eV for the cell shown
Fermi-level density of states: 1.3 states/eV/f.u.

Unit cell a=2.8901 b=4.8824 c=6.3498 alpha=106.70 beta=90.00 gamma=107.22
Last column: nearest neighbours and their distance in Å.
Element x y z (fractional)
Al  0.0301  0.0603  0.0223  6 Ru 2.55-2.68, 4 Al 2.79-2.85
Al  0.3278  0.6556  0.6700  7 Ru 2.53-2.63, 1 Al 2.77
Al  0.3755  0.7511  0.2602  7 Ru 2.60-2.68, 5 Al 2.77-2.89
Ru  0.6679  0.3358  0.3515  7 Al 2.55-2.62, 2 Ru 2.73
Ru  0.0355  0.0710  0.6066  6 Al 2.54-2.68, 4 Ru 2.69-2.73
Ru  0.7298  0.4597  0.9228  7 Al 2.53-2.68, 2 Ru 2.69

A plane-wave DFT calculation with SCAN was carried out for a crystal of AlAg5 relaxed with PBEsol.

Values from the calculation:
E above lowest polymorph: 29 meV/atom
Size of the total moment: 0.0 μB per formula unit
E_form: -0.038 eV per atom
Symmetry: P-3m1, No. 164
Total energy: -164.82 eV for the cell shown
Fermi-level density of states: 1.6 states/eV/f.u.

Unit cell a=2.8860 b=2.8860 c=13.6319 alpha=90.00 beta=90.00 gamma=120.00
Last column: nearest neighbours and their distance in Å.
Element x y z (fractional)
Al  0.0000  0.0000  0.0000  6 Ag 2.73, 6 Al 2.89
Ag  0.3333  0.6667  0.1585  3 Al 2.73, 9 Ag 2.87-2.89
Ag  0.6667  0.3333  0.3299  12 Ag 2.86-2.89
Ag  0.0000  0.0000  0.5000  12 Ag 2.86-2.89
Ag  0.3333  0.6667  0.6701  12 Ag 2.86-2.89
Ag  0.6667  0.3333  0.8415  3 Al 2.73, 9 Ag 2.87-2.89

A plane-wave DFT calculation with SCAN was carried out for a crystal of Mn4SiPb relaxed with PBEsol.

Values from the calculation:
Size of the total moment: 9.5 μB per formula unit
Symmetry: F-43m, No. 216
Total energy: -156.32 eV for the cell shown
Fermi-level density of states: 6.3 states/eV/f.u.
Formation energy (no corrections): 0.42 eV per atom

Unit cell a=4.8381 b=4.8381 c=4.8381 alpha=60.00 beta=60.00 gamma=60.00
Last column: nearest neighbours and their distance in Å.
Element x y z (fractional)
Mn  0.3743  0.3743  0.3743  6 Mn 2.41-2.43
Mn  0.3743  0.3743  0.8770  6 Mn 2.41-2.43
Mn  0.8770  0.3743  0.3743  6 Mn 2.41-2.43
Mn  0.3743  0.8770  0.3743  6 Mn 2.41-2.43
Pb  0.7500  0.7500  0.7500  12 Mn 2.84, 4 Si 2.96
Si  0.0000  0.0000  0.0000  12 Mn 2.84, 4 Pb 2.96

A plane-wave DFT calculation with SCAN was carried out for a crystal of Cd2GeBi relaxed with PBEsol.

Values from the calculation:
Size of the total moment: 0.0 μB per formula unit
E_form: 0.298 eV per atom
Symmetry: Fm-3m, No. 225
Total energy: -157.31 eV for the cell shown
Fermi-level density of states: 1.8 states/eV/f.u.

Unit cell a=5.0988 b=5.0988 c=5.0988 alpha=60.00 beta=60.00 gamma=60.00
Last column: nearest neighbours and their distance in Å.
Element x y z (fractional)
Ge  0.0000  0.0000  0.0000  8 Cd 3.12
Bi  0.5000  0.5000  0.5000  8 Cd 3.12
Cd  0.2500  0.2500  0.2500  4 Ge 3.12, 4 Bi 3.12
Cd  0.7500  0.7500  0.7500  4 Ge 3.12, 4 Bi 3.12

A plane-wave DFT calculation with SCAN was carried out for a crystal of Sr2CaMg relaxed with PBEsol.

Values from the calculation:
Size of the total moment: 0.7 μB per formula unit
E_form: 0.049 eV per atom
Symmetry: I-4m2, No. 119
Total energy: -58.99 eV for the cell shown
Fermi-level density of states: 3.4 states/eV/f.u.

Unit cell a=5.4415 b=5.4415 c=6.6789 alpha=114.04 beta=114.04 gamma=90.00
Last column: nearest neighbours and their distance in Å.
Element x y z (fractional)
Sr  0.0000  0.0000  0.0000  4 Ca 3.85, 4 Mg 3.85, 4 Sr 3.85
Sr  0.7500  0.2500  0.5000  4 Mg 3.85, 4 Ca 3.85, 4 Sr 3.85
Ca  0.5000  0.5000  0.0000  8 Sr 3.85, 4 Mg 3.85
Mg  0.2500  0.7500  0.5000  8 Sr 3.85, 4 Ca 3.85